Below is crystalline CdSb3Ru at its relaxed geometry, with properties calculated at the PBE level.

a b c (Å): 5.172 5.172 5.172
angles (deg): 90.00 90.00 90.00
Space group Pm-3m (No. 221)
Asymmetric unit:
Cd1 0.000 0.000 0.000 (multiplicity 1)
Sb1 0.000 0.500 0.500 (multiplicity 3)
Ru1 0.500 0.500 0.500 (multiplicity 1)

Values from the calculation:
* energy relative to the elements, uncorrected: 0.37 eV per atom
* magnetic moment: 0.000 μB/atom

=====

Below is crystalline CdSb3Ru at its relaxed geometry, with properties calculated at the PBE level.

a b c (Å): 5.407 5.407 5.407
angles (deg): 90.00 90.00 90.00
Space group Pm-3m (No. 221)
Asymmetric unit:
Cd1 0.000 0.000 0.000 (multiplicity 1)
Sb1 0.000 0.000 0.500 (multiplicity 3)
Ru1 0.500 0.500 0.500 (multiplicity 1)

Values from the calculation:
* energy relative to the elements, uncorrected: 1.49 eV per atom
* magnetic moment: 0.412 μB/atom

=====

Below is crystalline CdSbRu3 at its relaxed geometry, with properties calculated at the PBE level.

a b c (Å): 4.832 4.832 4.832
angles (deg): 90.00 90.00 90.00
Space group Pm-3m (No. 221)
Asymmetric unit:
Cd1 0.000 0.000 0.000 (multiplicity 1)
Sb1 0.500 0.500 0.500 (multiplicity 1)
Ru1 0.000 0.500 0.500 (multiplicity 3)

Values from the calculation:
* energy relative to the elements, uncorrected: 1.36 eV per atom
* magnetic moment: 0.601 μB/atom

=====

Let's list distance to the lowest polymorph of the same formula in order: 0.0 1120.6 0.0 meV/atom.